Entry from the Alexandria database: an optimized crystal structure of CsMnClF2 (PBE+U).

Cell lengths 4.541, 4.541, 5.077 Å; angles 90.00, 90.00, 90.00 degrees
Positions (direct):
Cs1 0.500 0.500 0.500
F1 0.000 0.500 0.000
F2 0.500 0.000 0.000
Mn1 0.000 0.000 0.000
Cl1 0.000 0.000 0.500

Calculated values
Density of states at the Fermi level: 0.000 states/eV per cell
Total DFT energy (no corrections): -0.37191 Ry/atom